No. 1
Here is Li2TbHfSe4 after structural relaxation from Alexandria. Energies are from PBE-GGA.

Summary:
Density of states at the Fermi level = 0.313 states/eV per atom
Electronic total energy = -0.4045 Ry/atom
Uncorrected formation energy = -11.68 eV/f.u.

Geometry as CIF:
```
data_Li2TbHfSe4
_space_group_name_H-M_alt 'P 1 2/m 1'
_space_group_IT_number 10
_space_group_name_Hall '-P 2y'
_cell_length_a 6.8000
_cell_length_b 3.8963
_cell_length_c 6.8977
_cell_angle_alpha 90.00
_cell_angle_beta 108.91
_cell_angle_gamma 90.00
loop_
_atom_site_label
_atom_site_type_symbol
_atom_site_fract_x
_atom_site_fract_y
_atom_site_fract_z
Li1 Li 0.0000 0.0000 0.0000
Li2 Li 0.5000 0.5000 0.0000
Tb1 Tb 0.0000 0.5000 0.5000
Hf1 Hf 0.5000 0.0000 0.5000
Se1 Se 0.2642 0.5000 0.2514
Se2 Se 0.2666 0.0000 0.7560
```

***

No. 2
Here is MnTlRhSe3 after structural relaxation from Alexandria. Energies are from PBE-GGA.

Summary:
Density of states at the Fermi level = 0.597 states/eV per atom
Electronic total energy = -0.3842 Ry/atom
Uncorrected formation energy = -2.02 eV/f.u.

Geometry as CIF:
```
data_MnTlRhSe3
_space_group_name_H-M_alt 'P 1 21/m 1'
_space_group_IT_number 11
_space_group_name_Hall '-P 2yb'
_cell_length_a 8.1013
_cell_length_b 3.6730
_cell_length_c 9.7849
_cell_angle_alpha 90.00
_cell_angle_beta 111.44
_cell_angle_gamma 90.00
loop_
_atom_site_label
_atom_site_type_symbol
_atom_site_fract_x
_atom_site_fract_y
_atom_site_fract_z
Mn1 Mn 0.0220 0.2500 0.1062
Tl1 Tl 0.4948 0.2500 0.7931
Rh1 Rh 0.0316 0.7500 0.3373
Se1 Se 0.1599 0.7500 0.6169
Se2 Se 0.1696 0.2500 0.9445
Se3 Se 0.2417 0.2500 0.3352
```

***

No. 3
Here is KHgW2 after structural relaxation from Alexandria. Energies are from PBE-GGA.

Summary:
Density of states at the Fermi level = 1.047 states/eV per atom
Energy of formation from the pure elements = 1.319 eV/atom
Electronic total energy = -0.4048 Ry/atom

Geometry as CIF:
```
data_KHgW2
_space_group_name_H-M_alt 'P 4/m m m'
_space_group_IT_number 123
_space_group_name_Hall '-P 4 2'
_cell_length_a 2.7652
_cell_length_b 2.7652
_cell_length_c 10.8649
_cell_angle_alpha 90.00
_cell_angle_beta 90.00
_cell_angle_gamma 90.00
loop_
_atom_site_label
_atom_site_type_symbol
_atom_site_fract_x
_atom_site_fract_y
_atom_site_fract_z
K1 K 0.0000 0.0000 0.0000
Hg1 Hg 0.0000 0.0000 0.5000
W1 W 0.5000 0.5000 0.2845
```